Entry from Alexandria: an optimized crystal structure of CdHg2Pd4 (PBE-GGA).

## Properties
- VASP energy: -2.708 eV/atom
- Density: 9.309 g cm⁻³
- Formation energy: 477 meV per atom
- D(E_F): 3.94 states/eV per cell
- Total moment: 0.00 μB/cell

Structure (POSCAR):
```
CdHg2Pd4
1.0
4.9652 0.0000 0.0000
0.0000 4.9652 0.0000
0.0000 0.0000 13.5918
Cd Hg Pd
2 4 8
Direct
0.0000 0.0000 0.0000
0.5000 0.5000 0.5000
0.0000 0.0000 0.3866
0.0000 0.0000 0.6134
0.5000 0.5000 0.1134
0.5000 0.5000 0.8866
0.0000 0.0000 0.1911
0.0000 0.0000 0.8089
0.0000 0.5000 0.0000
0.0000 0.5000 0.5000
0.5000 0.0000 0.0000
0.5000 0.0000 0.5000
0.5000 0.5000 0.3089
0.5000 0.5000 0.6911
```